Record 1
{"formula": "Be2AlOs2", "functional": "PBE-GGA", "state": "relaxed", "lattice": [[6.079, 0.000, 0.000], [0.000, 6.079, 0.000], [0.000, 0.000, 3.043]], "species": ["Os", "Os", "Os", "Os", "Al", "Al", "Be", "Be", "Be", "Be"], "fractional_positions": [[0.174, 0.674, 0.500], [0.326, 0.174, 0.500], [0.826, 0.326, 0.500], [0.674, 0.826, 0.500], [0.500, 0.500, 0.000], [0.000, 0.000, 0.000], [0.380, 0.880, 0.000], [0.120, 0.380, 0.000], [0.880, 0.620, 0.000], [0.620, 0.120, 0.000]], "final_energy_ev_per_cell": -71.101, "n_ef_per_ev_atom": 0.482, "crystal_system": "tetragonal", "formation_energy_ev_per_fu": -1.90, "magmom_total_mub_per_atom": 0.000}



Record 2
{"formula": "YEr2Sc4", "functional": "PBE-GGA", "state": "relaxed", "lattice": [[7.794, 1.442, 1.241], [0.742, 9.012, -0.735], [-3.490, -5.812, 5.477]], "species": ["Sc", "Sc", "Sc", "Sc", "Sc", "Sc", "Sc", "Sc", "Er", "Er", "Er", "Er", "Y", "Y"], "fractional_positions": [[0.474, 0.881, 0.871], [0.707, 0.070, 0.615], [0.331, 0.164, 0.730], [0.845, 0.798, 0.765], [0.279, 0.940, 0.201], [0.903, 0.024, 0.307], [0.419, 0.657, 0.341], [0.041, 0.751, 0.454], [0.751, 0.319, 0.165], [0.569, 0.353, 0.469], [0.996, 0.504, 0.906], [0.610, 0.609, 0.032], [0.142, 0.211, 0.039], [0.182, 0.469, 0.604]], "final_energy_ev_per_cell": -81.559, "n_ef_per_ev_atom": 1.763, "crystal_system": "triclinic", "formation_energy_ev_per_fu": 0.14, "magmom_total_mub_per_atom": 0.000}



Record 3
{"formula": "Mg2ZnSb", "functional": "PBE-GGA", "state": "relaxed", "lattice": [[3.203, 0.057, 0.000], [-0.293, 3.191, 0.000], [0.000, 0.000, 8.756]], "species": ["Zn", "Mg", "Mg", "Sb"], "fractional_positions": [[0.500, 0.500, 0.769], [0.500, 0.500, 0.243], [0.000, 0.000, 0.980], [0.000, 0.000, 0.509]], "final_energy_ev_per_cell": -8.452, "n_ef_per_ev_atom": 0.502, "crystal_system": "orthorhombic", "formation_energy_uncorrected_ev_per_atom": 0.033, "magmom_total_mub_per_atom": 0.000}



Record 4
{"formula": "Li2LaMgAg", "functional": "PBE-GGA", "state": "relaxed", "lattice": [[4.973, 0.000, 0.000], [0.000, 6.150, 0.000], [0.000, 0.000, 4.973]], "species": ["La", "Mg", "Li", "Li", "Ag"], "fractional_positions": [[0.000, 0.500, 0.000], [0.000, 0.000, 0.000], [0.000, 0.000, 0.500], [0.500, 0.000, 0.000], [0.500, 0.500, 0.500]], "final_energy_ev_per_cell": -10.700, "n_ef_per_ev_atom": 0.948, "crystal_system": "tetragonal", "formation_energy_ev_per_fu": 2.50, "magmom_total_mub_per_atom": 0.000}



Record 5
{"formula": "BaZn2Cu", "functional": "PBE-GGA", "state": "relaxed", "lattice": [[3.540, 0.000, 0.000], [0.000, 3.539, 0.000], [0.000, 0.000, 7.233]], "species": ["Cu", "Zn", "Zn", "Ba"], "fractional_positions": [[0.500, 0.500, 0.833], [0.500, 0.500, 0.175], [0.000, 0.000, 0.982], [0.000, 0.000, 0.510]], "final_energy_ev_per_cell": -8.234, "n_ef_per_ev_atom": 0.621, "crystal_system": "tetragonal", "formation_energy_ev_per_fu": 0.33, "magmom_total_mub_per_atom": 0.000}



Record 6
{"formula": "MnCrFe", "functional": "PBE-GGA", "state": "relaxed", "lattice": [[-1.061, 3.792, 0.784], [-2.719, -2.941, 0.267], [0.580, -0.323, 2.348]], "species": ["Cr", "Mn", "Fe"], "fractional_positions": [[0.000, 0.000, 0.994], [0.333, 0.667, 0.687], [0.667, 0.333, 0.319]], "final_energy_ev_per_cell": -27.048, "n_ef_per_ev_atom": 1.074, "crystal_system": "trigonal", "formation_energy_ev_per_fu": 0.21, "magmom_total_mub_per_atom": 1.031}



Record 7
{"formula": "Sr2CuSe", "functional": "PBE-GGA", "state": "relaxed", "lattice": [[-6.516, 4.372, -1.757], [-3.540, -2.564, 6.750], [-3.380, 4.212, 4.617]], "species": ["Sr", "Sr", "Sr", "Sr", "Se", "Se", "Cu", "Cu"], "fractional_positions": [[0.875, 0.881, 0.750], [0.631, 0.125, 0.250], [0.375, 0.369, 0.750], [0.119, 0.625, 0.250], [0.750, 0.250, 0.500], [0.000, 0.000, 0.000], [0.500, 0.500, 0.000], [0.250, 0.750, 0.500]], "final_energy_ev_per_cell": -27.300, "n_ef_per_ev_atom": 0.931, "crystal_system": "tetragonal", "formation_energy_uncorrected_ev_per_atom": -0.676, "magmom_total_mub_per_atom": 0.000}



Record 8
{"formula": "BaLiOs4", "functional": "PBE-GGA", "state": "relaxed", "lattice": [[2.626, -3.961, 2.604], [-2.462, -2.714, 3.993], [-1.467, -5.165, -0.737]], "species": ["Os", "Os", "Os", "Os", "Li", "Ba"], "fractional_positions": [[0.878, 0.374, 0.374], [0.374, 0.878, 0.374], [0.374, 0.374, 0.878], [0.374, 0.374, 0.374], [0.000, 0.000, 0.000], [0.750, 0.750, 0.750]], "final_energy_ev_per_cell": -44.125, "n_ef_per_ev_atom": 1.517, "crystal_system": "cubic", "formation_energy_ev_per_fu": 4.63, "magmom_total_mub_per_atom": 0.281}